1.
Material: NdDyO3
Method: DFT, PBE
State: relaxed

abc: 6.1293 3.4261 13.3087
angles: 90.00 90.00 90.00
Atoms (fractional coordinates):
Nd (0.1811, 0.2500, 0.1951)
Nd (0.3189, 0.7500, 0.6951)
Nd (0.6811, 0.2500, 0.3049)
Nd (0.8189, 0.7500, 0.8049)
Dy (0.2405, 0.7500, 0.4482)
Dy (0.2595, 0.2500, 0.9482)
Dy (0.7405, 0.7500, 0.0518)
Dy (0.7595, 0.2500, 0.5518)
O (0.0308, 0.2500, 0.3942)
O (0.1275, 0.2500, 0.7848)
O (0.1397, 0.7500, 0.0579)
O (0.3603, 0.2500, 0.5579)
O (0.3725, 0.7500, 0.2848)
O (0.4692, 0.7500, 0.8942)
O (0.5308, 0.2500, 0.1058)
O (0.6275, 0.2500, 0.7152)
O (0.6397, 0.7500, 0.4421)
O (0.8603, 0.2500, 0.9421)
O (0.8725, 0.7500, 0.2152)
O (0.9692, 0.7500, 0.6058)

Summary:
* space group: Pnma (62)
* raw total energy: -164.7 eV/cell
* D(E_F): 0.000 states/eV per atom
* E_form (uncorrected): -16.92 eV per formula unit

---

2.
Material: InIr2Pt
Method: DFT, PBE
State: relaxed

abc: 9.1106 9.1106 9.1106
angles: 18.26 18.26 18.26
Atoms (fractional coordinates):
In (0.0000, 0.0000, 0.0000)
Ir (0.4972, 0.4972, 0.4972)
Ir (0.7525, 0.7525, 0.7525)
Pt (0.2475, 0.2475, 0.2475)

Summary:
* space group: R3m (160)
* ΔH_f (0 K): 0.1318 eV per atom
* raw total energy: -26.0 eV/cell
* D(E_F): 1.348 states/eV per atom

---

3.
Material: LiSiPb
Method: DFT, PBE
State: relaxed

abc: 6.2417 6.2417 6.2417
angles: 148.53 148.53 45.10
Atoms (fractional coordinates):
Li (0.0000, 0.0000, 0.0000)
Si (0.6249, 0.6249, 0.0000)
Pb (0.2859, 0.2859, 0.0000)

Summary:
* space group: I4mm (107)
* excess energy over the best structure of this formula in the dataset: 0.241 eV per atom
* raw total energy: -10.5 eV/cell
* D(E_F): 0.339 states/eV per atom
* E_form (uncorrected): 0.58 eV per formula unit

---

4.
Material: BeCu2WAu
Method: DFT, PBE
State: relaxed

abc: 4.6290 4.6290 4.9304
angles: 90.00 90.00 90.00
Atoms (fractional coordinates):
Be (0.0000, 0.0000, 0.0000)
Cu (0.0000, 0.5000, 0.5000)
Cu (0.5000, 0.0000, 0.5000)
W (0.5000, 0.5000, 0.0000)
Au (0.5000, 0.5000, 0.5000)

Summary:
* space group: P4/mmm (123)
* ΔH_f (0 K): 1.8234 eV per atom
* raw total energy: -19.0 eV/cell
* D(E_F): 0.695 states/eV per atom

---

5.
Material: LiCuSbRu
Method: DFT, PBE
State: relaxed

abc: 4.3910 4.3910 4.3910
angles: 60.00 60.00 60.00
Atoms (fractional coordinates):
Li (0.0000, 0.0000, 0.0000)
Cu (0.2500, 0.2500, 0.2500)
Sb (0.7500, 0.7500, 0.7500)
Ru (0.5000, 0.5000, 0.5000)

Summary:
* space group: F-43m (216)
* raw total energy: -19.9 eV/cell
* D(E_F): 0.661 states/eV per atom
* E_form (uncorrected): -0.51 eV per formula unit

---

6.
Material: SmY2UN4
Method: DFT, PBE
State: relaxed

abc: 6.0403 6.0403 6.0403
angles: 131.73 131.73 70.66
Atoms (fractional coordinates):
Sm (0.0000, 0.0000, 0.0000)
Y (0.5000, 0.5000, 0.0000)
Y (0.7500, 0.2500, 0.5000)
U (0.2500, 0.7500, 0.5000)
N (0.0224, 0.5224, 0.5000)
N (0.2537, 0.2537, 0.0000)
N (0.4776, 0.9776, 0.5000)
N (0.7463, 0.7463, 0.0000)

Summary:
* space group: I-4m2 (119)
* raw total energy: -74.7 eV/cell
* D(E_F): 0.731 states/eV per atom
* E_form (uncorrected): -12.44 eV per formula unit

---

7.
Material: LaMo
Method: DFT, PBE
State: relaxed

abc: 9.2527 3.6785 6.2533
angles: 90.00 90.00 90.00
Atoms (fractional coordinates):
La (0.1847, 0.2500, 0.1147)
La (0.3153, 0.7500, 0.6147)
La (0.6847, 0.2500, 0.3853)
La (0.8153, 0.7500, 0.8853)
Mo (0.0324, 0.2500, 0.6192)
Mo (0.4676, 0.7500, 0.1192)
Mo (0.5324, 0.2500, 0.8808)
Mo (0.9676, 0.7500, 0.3808)

Summary:
* space group: Pnma (62)
* ΔH_f (0 K): 0.3787 eV per atom
* excess energy over the best structure of this formula in the dataset: 0.138 eV per atom
* raw total energy: -60.0 eV/cell
* D(E_F): 0.938 states/eV per atom

---

8.
Material: CrAsSe3
Method: DFT, PBE
State: relaxed

abc: 4.7101 4.7101 4.7101
angles: 90.00 90.00 90.00
Atoms (fractional coordinates):
Cr (0.0000, 0.0000, 0.0000)
As (0.5000, 0.5000, 0.5000)
Se (0.0000, 0.0000, 0.5000)
Se (0.0000, 0.5000, 0.0000)
Se (0.5000, 0.0000, 0.0000)

Summary:
* space group: Pm-3m (221)
* raw total energy: -22.5 eV/cell
* D(E_F): 1.246 states/eV per atom
* E_form (uncorrected): 2.19 eV per formula unit

---

9.
Material: SrZnBr2
Method: DFT, PBE
State: relaxed

abc: 4.5991 4.5825 6.1568
angles: 90.00 111.83 90.00
Atoms (fractional coordinates):
Sr (0.0000, 0.0000, 0.0000)
Zn (0.8027, 0.5000, 0.6178)
Br (0.2793, 0.0000, 0.5621)
Br (0.5634, 0.5000, 0.1305)

Summary:
* space group: Pm (6)
* excess energy over the best structure of this formula in the dataset: 0.101 eV per atom
* raw total energy: -11.2 eV/cell
* D(E_F): 0.000 states/eV per atom
* E_form (uncorrected): -4.88 eV per formula unit

---

10.
Material: U2OsPd
Method: DFT, PBE
State: relaxed

abc: 10.2126 10.2126 10.2126
angles: 16.55 16.55 16.55
Atoms (fractional coordinates):
U (0.0887, 0.0887, 0.0887)
U (0.9113, 0.9113, 0.9113)
Os (0.5000, 0.5000, 0.5000)
Pd (0.0000, 0.0000, 0.0000)

Summary:
* space group: R-3m (166)
* ΔH_f (0 K): 0.1738 eV per atom
* raw total energy: -38.3 eV/cell
* D(E_F): 1.921 states/eV per atom

---

11.
Material: CaInIr2
Method: DFT, PBE
State: relaxed

abc: 3.3248 3.3248 6.7260
angles: 90.00 90.00 90.00
Atoms (fractional coordinates):
Ca (0.0000, 0.0000, 0.0000)
In (0.0000, 0.0000, 0.5000)
Ir (0.5000, 0.5000, 0.2756)
Ir (0.5000, 0.5000, 0.7244)

Summary:
* space group: P4/mmm (123)
* ΔH_f (0 K): -0.0941 eV per atom
* raw total energy: -22.8 eV/cell
* D(E_F): 0.218 states/eV per atom

---

12.
Material: SmZnGa2Pd5
Method: DFT, PBE
State: relaxed

abc: 4.6887 4.6887 7.4178
angles: 90.00 90.00 90.00
Atoms (fractional coordinates):
Sm (0.0000, 0.0000, 0.0000)
Zn (0.0000, 0.0000, 0.5000)
Ga (0.5000, 0.5000, 0.3396)
Ga (0.5000, 0.5000, 0.6604)
Pd (0.0000, 0.5000, 0.2629)
Pd (0.0000, 0.5000, 0.7371)
Pd (0.5000, 0.0000, 0.2629)
Pd (0.5000, 0.0000, 0.7371)
Pd (0.5000, 0.5000, 0.0000)

Summary:
* space group: P4/mmm (123)
* ΔH_f (0 K): -0.4459 eV per atom
* raw total energy: -42.0 eV/cell
* D(E_F): 0.569 states/eV per atom